# CuSIO (GGA-PBE, relaxed)
# Crystal system: triclinic
# E above lowest polymorph (eV per atom): 0.071
# Space group: P1
data_CuSIO
_chemical_formula_sum 'Cu2 S2 I2 O2'
_cell_length_a 6.327
_cell_length_b 6.963
_cell_length_c 5.948
_cell_angle_alpha 83.10
_cell_angle_beta 80.91
_cell_angle_gamma 58.17
_space_group_name_H-M_alt 'P 1'
_space_group_IT_number 1
loop_
_space_group_symop_operation_xyz
'x,y,z'
loop_
_atom_site_label
_atom_site_fract_x
_atom_site_fract_y
_atom_site_fract_z
_atom_site_occupancy
O1 0.200 0.673 0.802 1
O2 0.887 0.747 0.545 1
Cu1 0.511 0.427 0.664 1
Cu2 0.967 0.196 0.257 1
I1 0.249 0.124 0.903 1
I2 0.506 0.338 0.256 1
S1 0.909 0.197 0.625 1
S2 0.933 0.809 0.750 1

***

# Be2Cr2Au (GGA-PBE, relaxed)
# ΔH_f (0 K) (eV per atom): 0.15
# Crystal system: tetragonal
# Space group: P4/mbm
data_Be2Cr2Au
_chemical_formula_sum 'Be4 Cr4 Au2'
_cell_length_a 5.927
_cell_length_b 5.927
_cell_length_c 3.213
_cell_angle_alpha 90.00
_cell_angle_beta 90.00
_cell_angle_gamma 90.00
_space_group_name_H-M_alt 'P 1'
_space_group_IT_number 1
loop_
_space_group_symop_operation_xyz
'x,y,z'
loop_
_atom_site_label
_atom_site_fract_x
_atom_site_fract_y
_atom_site_fract_z
_atom_site_occupancy
Cr1 0.666 0.834 0.500 1
Cr2 0.834 0.334 0.500 1
Cr3 0.334 0.166 0.500 1
Cr4 0.166 0.666 0.500 1
Be1 0.878 0.622 0.000 1
Be2 0.622 0.122 0.000 1
Be3 0.122 0.378 0.000 1
Be4 0.378 0.878 0.000 1
Au1 0.000 0.000 0.000 1
Au2 0.500 0.500 0.000 1

***

# Tl6InPb (GGA-PBE, relaxed)
# ΔH_f (0 K) (eV per atom): 0.02
# Crystal system: tetragonal
# E above lowest polymorph (eV per atom): 0.015
# Space group: P4/mmm
data_Tl6InPb
_chemical_formula_sum 'Tl6 In1 Pb1'
_cell_length_a 4.824
_cell_length_b 4.824
_cell_length_c 10.472
_cell_angle_alpha 90.00
_cell_angle_beta 90.00
_cell_angle_gamma 90.00
_space_group_name_H-M_alt 'P 1'
_space_group_IT_number 1
loop_
_space_group_symop_operation_xyz
'x,y,z'
loop_
_atom_site_label
_atom_site_fract_x
_atom_site_fract_y
_atom_site_fract_z
_atom_site_occupancy
Tl1 0.000 0.500 0.749 1
Tl2 0.500 0.000 0.251 1
Tl3 0.500 0.500 0.000 1
Tl4 0.500 0.500 0.500 1
Tl5 0.000 0.500 0.251 1
Tl6 0.500 0.000 0.749 1
In1 0.000 0.000 0.500 1
Pb1 0.000 0.000 0.000 1

***

# Dy6USe12 (GGA-PBE, relaxed)
# Crystal system: trigonal
# Space group: R-3
# E_tot (eV per atom): -5.8821
data_Dy6USe12
_chemical_formula_sum 'Dy6 U1 Se12'
_cell_length_a 8.211
_cell_length_b 8.211
_cell_length_c 8.211
_cell_angle_alpha 98.92
_cell_angle_beta 98.92
_cell_angle_gamma 98.92
_space_group_name_H-M_alt 'P 1'
_space_group_IT_number 1
loop_
_space_group_symop_operation_xyz
'x,y,z'
loop_
_atom_site_label
_atom_site_fract_x
_atom_site_fract_y
_atom_site_fract_z
_atom_site_occupancy
Dy1 0.637 0.327 0.144 1
Dy2 0.856 0.363 0.673 1
Dy3 0.327 0.144 0.637 1
Dy4 0.144 0.637 0.327 1
Dy5 0.363 0.673 0.856 1
Dy6 0.673 0.856 0.363 1
Se1 0.026 0.675 0.921 1
Se2 0.577 0.176 0.419 1
Se3 0.176 0.419 0.577 1
Se4 0.419 0.577 0.176 1
Se5 0.824 0.581 0.423 1
Se6 0.921 0.026 0.675 1
Se7 0.325 0.079 0.974 1
Se8 0.675 0.921 0.026 1
Se9 0.974 0.325 0.079 1
Se10 0.079 0.974 0.325 1
Se11 0.423 0.824 0.581 1
Se12 0.581 0.423 0.824 1
U1 0.000 0.000 0.000 1

***

# PuPaSe2 (GGA-PBE, relaxed)
# Crystal system: trigonal
# E above lowest polymorph (eV per atom): 0.101
# Space group: R3m
data_PuPaSe2
_chemical_formula_sum 'Pu1 Pa1 Se2'
_cell_length_a 3.944
_cell_length_b 3.944
_cell_length_c 7.713
_cell_angle_alpha 75.19
_cell_angle_beta 75.19
_cell_angle_gamma 60.00
_space_group_name_H-M_alt 'P 1'
_space_group_IT_number 1
loop_
_space_group_symop_operation_xyz
'x,y,z'
loop_
_atom_site_label
_atom_site_fract_x
_atom_site_fract_y
_atom_site_fract_z
_atom_site_occupancy
Se1 0.082 0.082 0.754 1
Se2 0.251 0.251 0.248 1
Pu1 0.670 0.670 0.989 1
Pa1 0.497 0.497 0.509 1

***

# Nd5BeSe4 (GGA-PBE, relaxed)
# Crystal system: tetragonal
# Space group: I4/m
# E_tot (eV per atom): -5.6137
data_Nd5BeSe4
_chemical_formula_sum 'Nd5 Be1 Se4'
_cell_length_a 5.962
_cell_length_b 7.315
_cell_length_c 7.315
_cell_angle_alpha 80.44
_cell_angle_beta 65.95
_cell_angle_gamma 65.95
_space_group_name_H-M_alt 'P 1'
_space_group_IT_number 1
loop_
_space_group_symop_operation_xyz
'x,y,z'
loop_
_atom_site_label
_atom_site_fract_x
_atom_site_fract_y
_atom_site_fract_z
_atom_site_occupancy
Nd1 0.098 0.611 0.194 1
Nd2 0.293 0.806 0.611 1
Nd3 0.501 0.000 0.000 1
Nd4 0.904 0.389 0.806 1
Nd5 0.709 0.194 0.389 1
Se1 0.803 0.794 0.601 1
Se2 0.199 0.206 0.399 1
Se3 0.598 0.601 0.206 1
Se4 0.404 0.399 0.794 1
Be1 0.001 0.000 0.000 1

***

# Mn3AlCu (GGA-PBE, relaxed)
# ΔH_f (0 K) (eV per atom): 0.85
# Crystal system: cubic
# E above lowest polymorph (eV per atom): 0.000
# Space group: Pm-3m
data_Mn3AlCu
_chemical_formula_sum 'Mn3 Al1 Cu1'
_cell_length_a 4.485
_cell_length_b 4.485
_cell_length_c 4.485
_cell_angle_alpha 90.00
_cell_angle_beta 90.00
_cell_angle_gamma 90.00
_space_group_name_H-M_alt 'P 1'
_space_group_IT_number 1
loop_
_space_group_symop_operation_xyz
'x,y,z'
loop_
_atom_site_label
_atom_site_fract_x
_atom_site_fract_y
_atom_site_fract_z
_atom_site_occupancy
Cu1 0.000 0.000 0.000 1
Mn1 0.500 0.000 0.000 1
Mn2 0.000 0.000 0.500 1
Mn3 0.000 0.500 0.000 1
Al1 0.500 0.500 0.500 1

***

# Pm2TlIrO8 (GGA-PBE, relaxed)
# Crystal system: triclinic
# Space group: P-1
# E_tot (eV per atom): -6.7500
data_Pm2TlIrO8
_chemical_formula_sum 'Pm2 Tl1 Ir1 O8'
_cell_length_a 4.799
_cell_length_b 4.863
_cell_length_c 7.436
_cell_angle_alpha 87.81
_cell_angle_beta 87.78
_cell_angle_gamma 94.17
_space_group_name_H-M_alt 'P 1'
_space_group_IT_number 1
loop_
_space_group_symop_operation_xyz
'x,y,z'
loop_
_atom_site_label
_atom_site_fract_x
_atom_site_fract_y
_atom_site_fract_z
_atom_site_occupancy
Pm1 0.440 0.446 0.759 1
Pm2 0.560 0.554 0.241 1
O1 0.872 0.242 0.810 1
O2 0.716 0.727 0.952 1
O3 0.765 0.129 0.194 1
O4 0.235 0.871 0.806 1
O5 0.284 0.273 0.048 1
O6 0.306 0.305 0.477 1
O7 0.128 0.758 0.190 1
O8 0.694 0.695 0.523 1
Ir1 0.000 0.000 0.000 1
Tl1 0.000 0.000 0.500 1